Record 1
Material: RbTm2Lu
Method: DFT, PBE
State: relaxed

The total energy is -39.333 eV for the cell shown.

The structure belongs to space group R-3m (No. 166, hexagonal axes); the cell edges are 3.5494, 3.5494 and 38.9808 Å and the angles 90.00°, 90.00° and 120.00°. The distinct sites, in fractional coordinates, are Rb at (0.0000, 0.0000, 0.0000), Tm at (0.0000, 0.0000, 0.0965) and Lu at (0.0000, 0.0000, 0.5000).

***

Record 2
Material: Er5CoBi2
Method: DFT, PBE
State: relaxed

The calculation puts the energy above the most stable polymorph in this dataset at 3.12 eV per formula unit.

The structure belongs to space group Cmcm (No. 63); the cell edges are 5.3565, 15.9503 and 14.1109 Å and the angles 90.00°, 90.00° and 90.00°. The distinct sites, in fractional coordinates, are Er at (0.0000, 0.0533, 0.1237), Er at (0.0000, 0.2689, 0.1091), Er at (0.0000, 0.3117, 0.7500), Co at (0.0000, 0.1653, 0.2500) and Bi at (0.0000, 0.1409, 0.5758).

***

Record 3
Material: CrFeAu2
Method: DFT, PBE
State: relaxed

The total energy is -46.173 eV for the cell shown.

The structure belongs to space group C2/m (No. 12); the cell edges are 9.0464, 2.8739 and 5.0839 Å and the angles 90.00°, 100.58° and 90.00°. The distinct sites, in fractional coordinates, are Cr at (0.0000, 0.0000, 0.0000), Fe at (0.0000, 0.5000, 0.5000) and Au at (0.2457, 0.0000, 0.7460).

***

Record 4
Material: ZrBe2AgSb
Method: DFT, PBE
State: relaxed

The uncorrected formation energy is 94.7 kJ per mole of atoms.

The structure belongs to space group P4/mmm (No. 123); the cell edges are 4.5226, 4.5226 and 5.4379 Å and the angles 90.00°, 90.00° and 90.00°. The distinct sites, in fractional coordinates, are Zr at (0.0000, 0.0000, 0.0000), Be at (0.0000, 0.5000, 0.5000), Ag at (0.5000, 0.5000, 0.0000) and Sb at (0.0000, 0.0000, 0.5000).